HoEr2Tm3NiTe2: relaxed, PBE.

Structure (POSCAR):
```
HoEr2Tm3NiTe2
1.0
3.871 0.000 0.000
0.000 7.190 4.155
0.000 -7.190 4.155
Ho Er Tm Ni Te
1 2 3 1 2
direct
0.000 0.000 0.000
0.000 0.401 0.800
0.000 0.800 0.401
0.500 0.163 0.401
0.500 0.401 0.163
0.500 0.638 0.638
0.000 0.402 0.402
0.500 0.067 0.734
0.500 0.734 0.067
```

Output
* crystal system: orthorhombic
* energy: -5.03 eV/atom
* magnetization: 0.11 μB/atom
* SG: Amm2 (38)